# 1
Material: NaBiTePOs
Method: DFT, PBE
State: optimized geometry

Cell lengths 11.2054, 3.5564, 8.0494 Å; angles 90.00, 124.49, 90.00 degrees
With the nearest neighbours (Å) after each atom.
Space group Cm (No. 8)
Asymmetric unit:
Na 0.0000 0.0000 0.0000  1 P 2.91, 3 Te 3.10-3.15
Bi 0.3093 0.0000 0.5328  1 Os 2.73, 1 P 2.85
Te 0.1961 0.5000 0.9236  2 Os 2.79, 1 Na 3.10
P 0.0074 0.0000 0.3667  2 Os 2.23
Os 0.3625 0.0000 0.2416  2 P 2.23

Calculated values
The crystal system is monoclinic. The value obtained for the energy above the most stable polymorph in this dataset is 38 meV per atom. The uncorrected formation energy is -0.0180 eV/atom. As for the final energy: -5.01 eV/atom. As for the volume: 26.44 Å³/atom.



# 2
Material: RbYZnF6
Method: DFT, PBE
State: optimized geometry

Cell lengths 7.3536, 7.6681, 10.3848 Å; angles 90.00, 90.00, 90.00 degrees
With the nearest neighbours (Å) after each atom.
Space group Imma (No. 74)
Asymmetric unit:
Rb 0.0000 0.2500 0.0923  9 F 2.92-3.16
Y 0.0000 0.0000 0.5000  6 F 2.23-2.31
Zn 0.2500 0.2500 0.7500  6 F 2.05-2.07
F 0.0000 0.2500 0.3911  2 Y 2.23
F 0.0000 0.2500 0.6581  2 Zn 2.07
F 0.2380 0.0532 0.8840  1 Zn 2.05

Calculated values
The crystal system is orthorhombic. The uncorrected formation energy is -3.1846 eV/atom. As for the final energy: -5.40 eV/atom. As for the volume: 16.27 Å³/atom.



# 3
Material: Ac2ErPt2I2
Method: DFT, PBE
State: optimized geometry

Cell lengths 5.2663, 5.2663, 17.5177 Å; angles 90.00, 90.00, 90.00 degrees
With the nearest neighbours (Å) after each atom.
Space group I4/mmm (No. 139)
Asymmetric unit:
Ac 0.0000 0.0000 0.1077  4 Pt 3.24, 1 I 3.51
Er 0.0000 0.0000 0.5000  4 Pt 2.63
Pt 0.0000 0.5000 0.0000  2 Er 2.63
I 0.0000 0.0000 0.3082  1 Er 3.36, 1 Ac 3.51

Calculated values
The crystal system is tetragonal. The uncorrected formation energy is -1.0936 eV/atom. As for the final energy: -5.09 eV/atom. As for the volume: 34.70 Å³/atom.



# 4
Material: BeCdAu3
Method: DFT, PBE
State: optimized geometry

Cell lengths 6.5166, 6.5166, 4.7040 Å; angles 90.00, 90.00, 120.00 degrees
With the nearest neighbours (Å) after each atom.
Space group P6_3/mmc (No. 194)
Asymmetric unit:
Be 0.0000 0.0000 0.0000  2 Be 2.35, 6 Au 2.38
Cd 0.3333 0.6667 0.2500  6 Au 2.90
Au 0.1829 0.3657 0.7500  2 Be 2.38

Calculated values
The crystal system is hexagonal. The value obtained for the energy above the most stable polymorph in this dataset is 6 meV per atom. As for the final energy: -3.02 eV/atom. The energy of formation is -60.4 kJ/mol of formula units. As for the volume: 17.30 Å³/atom.



# 5
Material: Er2Ni2Au
Method: DFT, PBE
State: optimized geometry

Cell lengths 3.8677, 13.6574, 3.5691 Å; angles 90.00, 90.00, 90.00 degrees
With the nearest neighbours (Å) after each atom.
Space group Cmmm (No. 65)
Asymmetric unit:
Er 0.0000 0.1309 0.0000  6 Ni 2.79-2.94
Ni 0.0000 0.3017 0.5000  2 Ni 2.39
Au 0.0000 0.5000 0.5000  2 Ni 2.71

Calculated values
The crystal system is orthorhombic. The value obtained for the energy above the most stable polymorph in this dataset is 0 meV per atom. As for the final energy: -5.43 eV/atom. The energy of formation is -308.9 kJ/mol of formula units. As for the volume: 18.85 Å³/atom.



# 6
Material: LaCe2ThSe4
Method: DFT, PBE
State: optimized geometry

Cell lengths 7.3197, 4.2253, 7.3285 Å; angles 90.00, 109.44, 90.00 degrees
With the nearest neighbours (Å) after each atom.
Space group P2/m (No. 10)
Asymmetric unit:
La 0.0000 0.0000 0.0000  6 Se 3.02
Ce 0.0000 0.5000 0.5000  6 Se 2.98
Ce 0.5000 0.0000 0.5000  6 Se 2.96
Th 0.5000 0.5000 0.0000  6 Se 2.99-3.00
Se 0.2514 0.0000 0.7467  3 Ce 2.96-2.98, 2 Th 3.00, 1 La 3.02
Se 0.2544 0.5000 0.2552  3 Ce 2.96-2.98, 1 Th 2.99, 2 La 3.02

Calculated values
The crystal system is monoclinic. The uncorrected formation energy is -1.7934 eV/atom. As for the final energy: -6.56 eV/atom. As for the volume: 26.72 Å³/atom.



# 7
Material: U2ZnNi4Ge3
Method: DFT, PBE
State: optimized geometry

Cell lengths 3.9782, 3.9782, 10.0387 Å; angles 90.00, 90.00, 90.00 degrees
With the nearest neighbours (Å) after each atom.
Space group P-4m2 (No. 115)
Asymmetric unit:
U 0.0000 0.5000 0.2483  8 Ni 3.03-3.19, 6 Ge 3.05-3.22, 2 Zn 3.22
Zn 0.0000 0.0000 0.5000  4 Ni 2.43
Ni 0.0000 0.0000 0.0000  4 Ge 2.38
Ni 0.0000 0.5000 0.6395  3 Ge 2.32-2.43, 2 Zn 2.43
Ni 0.5000 0.5000 0.0000  4 Ge 2.38
Ge 0.0000 0.5000 0.8704  5 Ni 2.32-2.38
Ge 0.5000 0.5000 0.5000  4 Ni 2.43

Calculated values
The crystal system is tetragonal. As for the final energy: -6.43 eV/atom. The energy of formation is -336.7 kJ/mol of formula units. As for the volume: 15.89 Å³/atom.



# 8
Material: CsNaMnS3
Method: DFT, PBE
State: optimized geometry

Cell lengths 7.1251, 13.1313, 6.6994 Å; angles 90.00, 90.00, 90.00 degrees
With the nearest neighbours (Å) after each atom.
Space group Cmcm (No. 63)
Asymmetric unit:
Cs 0.0000 0.2487 0.2500  4 S 3.39-3.60
Na 0.0000 0.0807 0.7500  5 S 2.75-2.85
Mn 0.0000 0.4554 0.7500  5 S 2.17-2.33
S 0.0000 0.2900 0.7500  1 Mn 2.17
S 0.2125 0.5000 0.0000  2 Mn 2.33

Calculated values
The crystal system is orthorhombic. The uncorrected formation energy is -0.8492 eV/atom. As for the final energy: -4.80 eV/atom. As for the volume: 26.12 Å³/atom.



# 9
Material: U2Si4Ni3Ru
Method: DFT, PBE
State: optimized geometry

Cell lengths 3.9853, 3.9853, 9.5255 Å; angles 90.00, 90.00, 90.00 degrees
With the nearest neighbours (Å) after each atom.
Space group P-4m2 (No. 115)
Asymmetric unit:
U 0.0000 0.5000 0.2461  8 Si 3.02-3.08, 6 Ni 3.06-3.13, 2 Ru 3.13
Si 0.0000 0.0000 0.0000  4 Ni 2.30
Si 0.0000 0.5000 0.6390  3 Ni 2.29-2.39, 2 Ru 2.39
Si 0.5000 0.5000 0.0000  4 Ni 2.30
Ni 0.0000 0.5000 0.8789  5 Si 2.29-2.30
Ni 0.5000 0.5000 0.5000  4 Si 2.39
Ru 0.0000 0.0000 0.5000  4 Si 2.39

Calculated values
The crystal system is tetragonal. The uncorrected formation energy is -0.6026 eV/atom. As for the final energy: -7.69 eV/atom. As for the volume: 15.13 Å³/atom.



# 10
Material: PaZn2PtO8
Method: DFT, PBE
State: optimized geometry

Cell lengths 4.7735, 6.5096, 4.7885 Å; angles 90.00, 92.38, 90.00 degrees
With the nearest neighbours (Å) after each atom.
Space group P2/m (No. 10)
Asymmetric unit:
Pa 0.0000 0.0000 0.0000  6 O 2.06-2.21
Zn 0.5000 0.2575 0.5000  6 O 2.09-2.13
Pt 0.0000 0.5000 0.0000  6 O 1.94-1.99
O 0.1936 0.2709 0.8098  1 Pt 1.99, 1 Zn 2.13, 1 Pa 2.21
O 0.2924 0.5000 0.2951  1 Pt 1.94, 2 Zn 2.09
O 0.3104 0.0000 0.3125  1 Pa 2.06, 2 Zn 2.09

Calculated values
The crystal system is monoclinic. The uncorrected formation energy is -1.4646 eV/atom. As for the final energy: -6.28 eV/atom. As for the volume: 12.39 Å³/atom.



# 11
Material: Ac3NdTe4
Method: DFT, PBE
State: optimized geometry

Cell lengths 8.1588, 9.2293, 8.1201 Å; angles 90.00, 108.94, 90.00 degrees
With the nearest neighbours (Å) after each atom.
Space group P2/c (No. 13)
Asymmetric unit:
Ac 0.0000 0.1246 0.2500  6 Te 3.30-3.38
Ac 0.0000 0.3739 0.7500  6 Te 3.31-3.38
Ac 0.5000 0.3732 0.2500  6 Te 3.30-3.31
Nd 0.5000 0.1239 0.7500  6 Te 3.23-3.25
Te 0.2554 0.3702 0.5054  1 Nd 3.24, 5 Ac 3.31-3.38
Te 0.2593 0.1196 0.9998  2 Nd 3.23-3.25, 4 Ac 3.30-3.38

Calculated values
The crystal system is monoclinic. The uncorrected formation energy is -1.4661 eV/atom. As for the final energy: -5.17 eV/atom. As for the volume: 36.15 Å³/atom.



# 12
Material: CdAg4Sn
Method: DFT, PBE
State: optimized geometry

Cell lengths 13.1368, 7.7890, 5.0453 Å; angles 90.00, 101.26, 90.00 degrees
With the nearest neighbours (Å) after each atom.
Space group C2/m (No. 12)
Asymmetric unit:
Cd 0.1936 0.0000 0.0980  8 Ag 2.88-3.05, 1 Sn 3.02
Ag 0.0000 0.1849 0.0000  5 Ag 2.88-2.97, 2 Cd 2.88, 2 Sn 2.92
Ag 0.1188 0.1777 0.5567  6 Ag 2.77-3.06, 1 Sn 2.88, 2 Cd 3.02-3.05
Ag 0.1837 0.5000 0.3322  2 Sn 2.86-2.94, 4 Ag 2.90-2.95, 2 Cd 2.94-3.01
Sn 0.0724 0.5000 0.7850  6 Ag 2.86-2.94, 1 Cd 3.02, 2 Sn 3.12-3.15

Calculated values
The crystal system is monoclinic. The value obtained for the energy above the most stable polymorph in this dataset is 41 meV per atom. As for the final energy: -2.64 eV/atom. The energy of formation is 48.0 kJ/mol of formula units. As for the volume: 21.10 Å³/atom.



# 13
Material: NaGe3Pd5
Method: DFT, PBE
State: optimized geometry

Cell lengths 3.9706, 13.1822, 12.8031 Å; angles 90.00, 90.00, 90.00 degrees
With the nearest neighbours (Å) after each atom.
Space group Cmcm (No. 63)
Asymmetric unit:
Na 0.0000 0.1701 0.2500  7 Ge 3.36-3.60, 4 Pd 3.50
Ge 0.0000 0.1028 0.7500  6 Pd 2.51-2.64
Ge 0.0000 0.3808 0.5452  7 Pd 2.41-2.68
Pd 0.0000 0.0000 0.0000  4 Ge 2.60, 6 Pd 2.77-2.78
Pd 0.0000 0.1992 0.5694  4 Ge 2.41-2.68
Pd 0.0000 0.4467 0.1420  4 Ge 2.51-2.59, 3 Pd 2.77-2.78

Calculated values
The crystal system is orthorhombic. As for the final energy: -4.99 eV/atom. The energy of formation is -366.7 kJ/mol of formula units. As for the volume: 18.61 Å³/atom.



# 14
Material: LaMgOs2
Method: DFT, PBE
State: optimized geometry

Cell lengths 2.9108, 2.9108, 29.3709 Å; angles 90.00, 90.00, 120.00 degrees
With the nearest neighbours (Å) after each atom.
Space group R-3m (No. 166, hexagonal axes)
Asymmetric unit:
La 0.0000 0.0000 0.0000  6 La 2.91, 6 Os 3.17
Mg 0.0000 0.0000 0.5000  6 Os 2.78, 6 Mg 2.91
Os 0.0000 0.0000 0.2419  3 Mg 2.78, 6 Os 2.91

Calculated values
The crystal system is trigonal. As for the final energy: -6.63 eV/atom. The energy of formation is 238.5 kJ/mol of formula units. As for the volume: 17.96 Å³/atom.



# 15
Material: RbSbI2Br
Method: DFT, PBE
State: optimized geometry

Cell lengths 6.1806, 6.1806, 5.8013 Å; angles 90.00, 90.00, 90.00 degrees
With the nearest neighbours (Å) after each atom.
Space group P4/mmm (No. 123)
Asymmetric unit:
Rb 0.0000 0.0000 0.0000  8 I 4.24, 4 Br 4.37
Sb 0.5000 0.5000 0.5000  2 Br 2.90, 4 I 3.09
I 0.0000 0.5000 0.5000  2 Sb 3.09
Br 0.5000 0.5000 0.0000  2 Sb 2.90

Calculated values
The crystal system is tetragonal. The value obtained for the energy above the most stable polymorph in this dataset is 0 meV per atom. The uncorrected formation energy is -0.7740 eV/atom. As for the final energy: -2.75 eV/atom. As for the volume: 44.32 Å³/atom.



# 16
Material: Co2NiSe
Method: DFT, PBE
State: optimized geometry

Cell lengths 3.4621, 3.4621, 17.6370 Å; angles 90.00, 90.00, 90.00 degrees
With the nearest neighbours (Å) after each atom.
Space group I-42d (No. 122)
Asymmetric unit:
Co 0.2435 0.2500 0.1250  4 Co 2.42-2.48, 2 Ni 2.51, 2 Se 2.53
Ni 0.0000 0.0000 0.0000  4 Se 2.45, 4 Co 2.51
Se 0.0000 0.0000 0.5000  4 Ni 2.45, 4 Co 2.53

Calculated values
The crystal system is tetragonal. The uncorrected formation energy is 0.3137 eV/atom. As for the final energy: -5.56 eV/atom. As for the volume: 13.21 Å³/atom.



# 17
Material: CaNdTiO4
Method: DFT, PBE
State: optimized geometry

Cell lengths 3.8895, 3.8895, 12.2348 Å; angles 90.00, 90.00, 90.00 degrees
With the nearest neighbours (Å) after each atom.
Space group I4mm (No. 107)
Asymmetric unit:
Ca 0.0000 0.0000 0.0000  1 O 2.26
Nd 0.0000 0.0000 0.2874  1 O 2.26
Ti 0.0000 0.0000 0.6408  6 O 1.95-2.14
O 0.0000 0.0000 0.4722  1 Ti 2.06, 1 Nd 2.26
O 0.0000 0.0000 0.8157  1 Ti 2.14, 1 Ca 2.26
O 0.0000 0.5000 0.1465  2 Ti 1.95

Calculated values
The crystal system is tetragonal. The uncorrected formation energy is -3.0267 eV/atom. As for the final energy: -7.95 eV/atom. As for the volume: 13.22 Å³/atom.



# 18
Material: Cs3AsBr6
Method: DFT, PBE
State: optimized geometry

Cell lengths 12.1287, 12.1287, 12.1287 Å; angles 90.00, 90.00, 90.00 degrees
With the nearest neighbours (Å) after each atom.
Space group Fm-3m (No. 225)
Asymmetric unit:
Cs 0.0000 0.0000 0.0000  6 Br 3.39
Cs 0.2500 0.2500 0.2500  12 Br 4.30
As 0.0000 0.0000 0.5000  6 Br 2.67
Br 0.0000 0.0000 0.2799  1 As 2.67

Calculated values
The crystal system is cubic. The value obtained for the energy above the most stable polymorph in this dataset is 29 meV per atom. The uncorrected formation energy is -1.2347 eV/atom. As for the final energy: -2.96 eV/atom. As for the volume: 44.61 Å³/atom.



# 19
Material: NdSm7Tm3
Method: DFT, PBE
State: optimized geometry

Cell lengths 7.1536, 7.1536, 8.6276 Å; angles 90.00, 90.00, 120.00 degrees
With the nearest neighbours (Å) after each atom.
Space group P3m1 (No. 156)
Asymmetric unit:
Nd 0.0000 0.0000 0.0000  9 Sm 3.53-3.58, 3 Tm 3.60
Sm 0.0020 0.5010 0.9860  2 Tm 3.49, 7 Sm 3.53-3.64, 2 Nd 3.58
Sm 0.3316 0.1658 0.3327  2 Tm 3.49, 1 Nd 3.53, 8 Sm 3.56-3.64
Sm 0.3333 0.6667 0.3194  9 Sm 3.53-3.58, 3 Tm 3.58
Tm 0.1670 0.3340 0.6587  5 Sm 3.49-3.58, 4 Tm 3.57-3.58, 1 Nd 3.60

Calculated values
The crystal system is trigonal. The value obtained for the energy above the most stable polymorph in this dataset is 0 meV per atom. As for the final energy: -4.46 eV/atom. The energy of formation is 204.7 kJ/mol of formula units. As for the volume: 34.76 Å³/atom.



# 20
Material: Pr4MgAg2
Method: DFT, PBE
State: optimized geometry

Cell lengths 5.3631, 5.3631, 26.6564 Å; angles 90.00, 90.00, 120.00 degrees
With the nearest neighbours (Å) after each atom.
Space group R-3m (No. 166, hexagonal axes)
Asymmetric unit:
Pr 0.0000 0.0000 0.1237  3 Mg 3.30, 3 Ag 3.44
Pr 0.0000 0.0000 0.2856  4 Ag 3.07-3.14
Mg 0.0000 0.0000 0.5000  2 Ag 2.65
Ag 0.0000 0.0000 0.4007  1 Mg 2.65

Calculated values
The crystal system is trigonal. The value obtained for the energy above the most stable polymorph in this dataset is 74 meV per atom. As for the final energy: -3.76 eV/atom. The energy of formation is 10.2 kJ/mol of formula units. As for the volume: 31.62 Å³/atom.